A relaxed structure of ZrGa2IrPd. Source: Alexandria via LeMat-Bulk, functional PBE.

Calculated values
Density: 7.87 g/cm3
Uncorrected energy: -5.732 eV per atom
E_form: -0.001 eV per atom

Lattice parameters (Å, degrees): 4.6883 4.6883 5.0795 90.00 90.00 90.00
Space group P4/mmm (No. 123)
Asymmetric unit:
Zr 0.0000 0.0000 0.0000
Ga 0.0000 0.5000 0.5000
Ir 0.0000 0.0000 0.5000
Pd 0.5000 0.5000 0.0000